NaHoBi2: relaxed, PBE.

SG ... R3m, No. 160
ΔH_f (0 K) ... -0.403 eV per atom
DOS(E_F) ... 1.28 states/eV per cell
E above lowest polymorph ... 0.075 eV per atom
M_tot ... 0.000 μB per atom

a b c (Å): 7.0052 7.0052 7.0052
angles (deg): 40.63 40.63 40.63
Positions (direct):
Na 0.0000 0.0000 0.0000
Ho 0.1801 0.1801 0.1801
Bi 0.5917 0.5917 0.5917
Bi 0.7626 0.7626 0.7626